## Ca2Cd2Pd (GGA-PBE)

Data for Ca2Cd2Pd after structural relaxation.

Raw total energy: -2.68 eV per atom
Space-group type: C2/m, No. 12
Density of states at the Fermi level: 4.8 states/eV per cell
Calculated formation energy: -479 meV/atom

```
Ca2Cd2Pd
1.0
-2.048 2.002 -3.055
-2.778 -5.094 1.395
-4.239 5.272 9.168
Ca Pd Cd
4 2 4
direct
0.938 0.746 0.129 Ca
0.339 0.346 0.331 Ca
0.661 0.654 0.669 Ca
0.062 0.254 0.871 Ca
0.623 0.932 0.313 Pd
0.377 0.068 0.687 Pd
0.882 0.218 0.547 Cd
0.118 0.782 0.453 Cd
0.358 0.824 0.893 Cd
0.642 0.176 0.107 Cd
```